(1)
Here is crystalline CaPd2Pb at its relaxed geometry from Alexandria. Energies are from PBE.

Unit cell a=3.6079 b=3.6079 c=6.5502 alpha=90.00 beta=90.00 gamma=90.00
Fractional coordinates of all 4 atoms:
Ca  0.0000  0.0000  0.0000
Pd  0.5000  0.5000  0.2630
Pd  0.5000  0.5000  0.7370
Pb  0.0000  0.0000  0.5000

Symmetry: P4/mmm (123)
Raw total energy: -17.87 eV for the cell shown
DFT formation energy: -10.224 kcal/mol of atoms


(2)
Here is crystalline CaPd2Pb2 at its relaxed geometry from Alexandria. Energies are from PBE.

Unit cell a=7.8907 b=7.8907 c=3.7171 alpha=90.00 beta=90.00 gamma=90.00
Fractional coordinates of all 10 atoms:
Ca  0.0000  0.0000  0.0000
Ca  0.5000  0.5000  0.0000
Pd  0.1317  0.3683  0.0000
Pd  0.3683  0.8683  0.0000
Pd  0.6317  0.1317  0.0000
Pd  0.8683  0.6317  0.0000
Pb  0.1606  0.6606  0.5000
Pb  0.3394  0.1606  0.5000
Pb  0.6606  0.8394  0.5000
Pb  0.8394  0.3394  0.5000

Symmetry: P4/mbm (127)
Raw total energy: -43.49 eV for the cell shown
DFT formation energy: -8.944 kcal/mol of atoms


(3)
Here is crystalline Ca6Pd2Pb at its relaxed geometry from Alexandria. Energies are from PBE.

Unit cell a=8.8679 b=8.8679 c=8.8679 alpha=113.13 beta=111.84 gamma=103.60
Fractional coordinates of all 18 atoms:
Ca  0.0384  0.2402  0.7981
Ca  0.1810  0.2891  0.4701
Ca  0.1810  0.7109  0.8919
Ca  0.3318  0.0244  0.6926
Ca  0.3318  0.6392  0.3074
Ca  0.4421  0.2402  0.2019
Ca  0.5579  0.7598  0.7981
Ca  0.6682  0.3608  0.6926
Ca  0.6682  0.9756  0.3074
Ca  0.8190  0.2891  0.1081
Ca  0.8190  0.7109  0.5299
Ca  0.9616  0.7598  0.2019
Pd  0.1282  0.6282  0.5000
Pd  0.3457  0.0000  0.3457
Pd  0.6543  0.0000  0.6543
Pd  0.8718  0.3718  0.5000
Pb  0.0000  0.0000  0.0000
Pb  0.5000  0.5000  0.0000

Symmetry: Immm (71)
Raw total energy: -61.67 eV for the cell shown
DFT formation energy: -12.130 kcal/mol of atoms


(4)
Here is crystalline Ca3Pd8Pb at its relaxed geometry from Alexandria. Energies are from PBE.

Unit cell a=9.4473 b=9.4473 c=9.4473 alpha=33.63 beta=33.63 gamma=33.63
Fractional coordinates of all 12 atoms:
Ca  0.0000  0.0000  0.0000
Ca  0.1268  0.1268  0.1268
Ca  0.5048  0.5048  0.5048
Pd  0.0645  0.0645  0.5645
Pd  0.0645  0.5645  0.0645
Pd  0.0645  0.5648  0.5648
Pd  0.3146  0.3146  0.3146
Pd  0.5645  0.0645  0.0645
Pd  0.5648  0.0645  0.5648
Pd  0.5648  0.5648  0.0645
Pd  0.8145  0.8145  0.8145
Pb  0.6288  0.6288  0.6288

Symmetry: R3m (160)
Raw total energy: -58.29 eV for the cell shown
DFT formation energy: -13.513 kcal/mol of atoms


(5)
Here is crystalline Ca4PdPb at its relaxed geometry from Alexandria. Energies are from PBE.

Unit cell a=5.1946 b=5.1946 c=7.4407 alpha=90.06 beta=90.06 gamma=90.00
Fractional coordinates of all 6 atoms:
Ca  0.0005  0.5002  0.7643
Ca  0.5002  0.0005  0.7643
Ca  0.4998  0.9995  0.2357
Ca  0.9995  0.4998  0.2357
Pd  0.0000  0.0000  0.0000
Pb  0.5000  0.5000  0.5000

Symmetry: C2/m (12)
Raw total energy: -19.43 eV for the cell shown
Excess energy over the best structure of this formula in the dataset: 1.776 kcal/mol of atoms
DFT formation energy: -9.707 kcal/mol of atoms


(6)
Here is crystalline Ca2Pd2Pb at its relaxed geometry from Alexandria. Energies are from PBE.

Unit cell a=9.3682 b=9.3682 c=9.3682 alpha=156.71 beta=156.71 gamma=33.17
Fractional coordinates of all 5 atoms:
Ca  0.1224  0.1224  0.0000
Ca  0.8776  0.8776  0.0000
Pd  0.2500  0.7500  0.5000
Pd  0.7500  0.2500  0.5000
Pb  0.5000  0.5000  0.0000

Symmetry: I4/mmm (139)
Raw total energy: -20.41 eV for the cell shown
DFT formation energy: -10.654 kcal/mol of atoms